Entry 1:
Compound: LaReIr
Source: Alexandria
Functional: PBE-GGA
Structure: optimized geometry

```
LaReIr
1.0
0.000 3.236 3.236
3.236 0.000 3.236
3.236 3.236 0.000
La Re Ir
1 1 1
direct
0.000 0.000 0.000
0.750 0.750 0.750
0.250 0.250 0.250
```

ΔH_f (0 K) = 1.40 eV/atom

---

Entry 2:
Compound: LaReIr2
Source: Alexandria
Functional: PBE-GGA
Structure: optimized geometry

```
LaReIr2
1.0
-1.440 2.422 5.239
1.440 -2.422 5.239
1.440 2.422 -5.239
La Re Ir
1 1 2
direct
0.000 0.000 0.000
0.284 0.784 0.500
0.498 0.498 0.000
0.727 0.227 0.500
```

ΔH_f (0 K) = 0.16 eV/atom

---

Entry 3:
Compound: LaReIr
Source: Alexandria
Functional: PBE-GGA
Structure: optimized geometry

```
LaReIr
1.0
-1.501 1.501 6.517
1.501 -1.501 6.517
1.501 1.501 -6.517
La Re Ir
1 1 1
direct
0.000 0.000 0.000
0.692 0.692 0.000
0.308 0.308 0.000
```

ΔH_f (0 K) = 0.08 eV/atom

---

Entry 4:
Compound: LaRe2Ir
Source: Alexandria
Functional: PBE-GGA
Structure: optimized geometry

```
LaRe2Ir
1.0
2.902 -4.399 0.000
2.902 4.399 0.000
0.000 0.000 2.778
La Re Ir
1 2 1
direct
0.000 0.000 0.000
0.000 0.500 0.500
0.500 0.000 0.500
0.500 0.500 0.000
```

ΔH_f (0 K) = 0.67 eV/atom

---

Entry 5:
Compound: LaRe2Ir
Source: Alexandria
Functional: PBE-GGA
Structure: optimized geometry

```
LaRe2Ir
1.0
3.077 0.000 0.000
0.000 3.077 0.000
0.000 0.000 7.837
La Re Ir
1 2 1
direct
0.000 0.000 0.000
0.000 0.000 0.486
0.500 0.500 0.305
0.500 0.500 0.701
```

ΔH_f (0 K) = 0.13 eV/atom

---

Entry 6:
Compound: LaRe2Ir
Source: Alexandria
Functional: PBE-GGA
Structure: optimized geometry

```
LaRe2Ir
1.0
4.490 -1.470 0.000
4.490 1.470 0.000
-1.099 0.000 6.042
La Re Ir
1 2 1
direct
0.000 0.000 0.000
0.231 0.231 0.637
0.495 0.495 0.512
0.763 0.763 0.296
```

ΔH_f (0 K) = 0.35 eV/atom

---

Entry 7:
Compound: LaReIr2
Source: Alexandria
Functional: PBE-GGA
Structure: optimized geometry

```
LaReIr2
1.0
4.400 -1.428 0.000
4.400 1.428 0.000
-1.102 0.000 6.268
La Re Ir
1 1 2
direct
0.000 0.000 0.000
0.500 0.500 0.500
0.245 0.245 0.671
0.755 0.755 0.329
```

ΔH_f (0 K) = 0.15 eV/atom

---

Entry 8:
Compound: LaRe2Ir
Source: Alexandria
Functional: PBE-GGA
Structure: optimized geometry

```
LaRe2Ir
1.0
-3.967 3.967 2.642
3.967 -3.967 2.642
3.967 3.967 -2.642
La Re Ir
2 4 2
direct
0.000 0.000 0.000
0.750 0.250 0.500
0.183 0.625 0.058
0.375 0.433 0.558
0.567 0.125 0.942
0.875 0.817 0.442
0.250 0.750 0.500
0.500 0.500 0.000
```

ΔH_f (0 K) = 0.72 eV/atom

---

Entry 9:
Compound: LaRe2Ir
Source: Alexandria
Functional: PBE-GGA
Structure: optimized geometry

```
LaRe2Ir
1.0
-1.526 2.523 4.861
1.526 -2.523 4.861
1.526 2.523 -4.861
La Re Ir
1 2 1
direct
0.000 0.000 0.000
0.283 0.783 0.500
0.489 0.489 0.000
0.719 0.219 0.500
```

ΔH_f (0 K) = 0.47 eV/atom

---

Entry 10:
Compound: LaRe2Ir
Source: Alexandria
Functional: PBE-GGA
Structure: optimized geometry

```
LaRe2Ir
1.0
2.800 0.000 0.000
0.000 2.800 0.000
0.000 0.000 9.137
La Re Ir
1 2 1
direct
0.000 0.000 0.000
0.500 0.500 0.292
0.500 0.500 0.708
0.000 0.000 0.500
```

ΔH_f (0 K) = 0.39 eV/atom

---

Entry 11:
Compound: LaRe2Ir
Source: Alexandria
Functional: PBE-GGA
Structure: optimized geometry

```
LaRe2Ir
1.0
1.420 0.820 10.182
-1.420 0.820 10.182
0.000 -1.639 10.182
La Re Ir
1 2 1
direct
0.000 0.000 0.000
0.238 0.238 0.238
0.762 0.762 0.762
0.500 0.500 0.500
```

ΔH_f (0 K) = 0.56 eV/atom

---

Entry 12:
Compound: LaRe2Ir
Source: Alexandria
Functional: PBE-GGA
Structure: optimized geometry

```
LaRe2Ir
1.0
5.013 -1.471 0.000
5.013 1.471 0.000
-1.066 0.000 5.101
La Re Ir
1 2 1
direct
0.000 0.000 0.000
0.224 0.224 0.685
0.776 0.776 0.315
0.500 0.500 0.500
```

ΔH_f (0 K) = 0.32 eV/atom

---

Record order is preserved below.
Energy above the lowest structure with this stoichiometry: 1530.6 261.1 204.8 539.4 0.0 222.5 251.1 595.6 343.4 265.7 430.5 190.4 meV per atom
Record order is preserved below.
Magnetic moment: 1.9 0.0 0.0 0.0 0.0 0.0 0.1 0.0 0.0 0.0 0.3 0.0 μB/f.u.